# Ca2AgW | Alexandria via LeMat-Bulk | GGA-PBEsol | relaxed
# magnetization = 0.0 μB per cell
# DFT formation energy = 0.72 eV/atom
data_Ca2AgW
_chemical_formula_sum 'Ca2 Ag1 W1'
_cell_length_a 2.893
_cell_length_b 4.669
_cell_length_c 6.333
_cell_angle_alpha 90.00
_cell_angle_beta 90.00
_cell_angle_gamma 90.00
_symmetry_space_group_name_H-M 'P m m m'
_symmetry_Int_Tables_number 47
loop_
_symmetry_equiv_pos_as_xyz
'x,y,z'
'-x,-y,-z'
'-x,-y,z'
'x,y,-z'
'x,-y,-z'
'-x,y,z'
'-x,y,-z'
'x,-y,z'
loop_
_atom_site_label
_atom_site_type_symbol
_atom_site_fract_x
_atom_site_fract_y
_atom_site_fract_z
Ca1 Ca 0.000 0.000 0.244
Ag1 Ag 0.500 0.500 0.500
W1 W 0.500 0.500 0.000